Record 1
A plane-wave DFT calculation with GGA-PBE was carried out for crystalline NaCaV at its relaxed geometry.

Lattice parameters (Å, degrees): 3.9849 6.0283 14.4095 90.00 90.00 90.00
Closest atoms and distances in Å follow each position.
Positions (direct):
Ca  0.7498  0.7500  0.9475  3 V 3.17-3.23, 2 Na 3.47
Ca  0.2498  0.7500  0.5525  3 V 3.17-3.23, 2 Na 3.47
Ca  0.7502  0.2500  0.4475  3 V 3.17-3.23, 2 Na 3.47
Ca  0.2502  0.2500  0.0525  3 V 3.17-3.23, 2 Na 3.47
Na  0.2508  0.2500  0.6715  2 Na 3.01, 2 V 3.37
Na  0.2492  0.7500  0.1715  2 Na 3.01, 2 V 3.37
Na  0.7492  0.7500  0.3285  2 Na 3.01, 2 V 3.37
Na  0.7508  0.2500  0.8285  2 Na 3.01, 2 V 3.37
V  0.2500  0.7500  0.7766  2 V 2.14
V  0.2500  0.2500  0.2766  2 V 2.14
V  0.7500  0.7500  0.7234  2 V 2.14
V  0.7500  0.2500  0.2234  2 V 2.14

Values from the calculation:
The value obtained for the energy relative to the elements is 0.642 eV/atom. The energy relative to the lowest polymorph listed for this composition is 368.1 meV per atom. For the total magnetization, the calculation gives 0.000 μB/cell. Its space group is Pnma, No. 62.

Record 2
A plane-wave DFT calculation with GGA-PBE was carried out for crystalline LiUGa2 at its relaxed geometry.

Lattice parameters (Å, degrees): 4.7980 4.7980 4.7978 60.00 60.00 60.00
Closest atoms and distances in Å follow each position.
Positions (direct):
Ga  0.7499  0.7499  0.7502  4 U 2.94, 4 Li 2.94
Ga  0.2501  0.2501  0.2498  4 U 2.94, 4 Li 2.94
Li  0.0000  0.0000  0.0000  8 Ga 2.94
U  0.5000  0.5000  0.5000  8 Ga 2.94

Values from the calculation:
The value obtained for the energy relative to the elements is -0.068 eV/atom. The energy relative to the lowest polymorph listed for this composition is 135.2 meV per atom. For the total magnetization, the calculation gives 2.520 μB/cell. Its space group is Fm-3m, No. 225.

Record 3
A plane-wave DFT calculation with GGA-PBE was carried out for crystalline CdBr at its relaxed geometry.

Lattice parameters (Å, degrees): 9.2796 9.2796 4.0443 90.00 90.00 90.00
Closest atoms and distances in Å follow each position.
Positions (direct):
Cd  0.3985  0.3985  0.0000  1 Cd 2.66, 2 Br 2.72
Cd  0.6015  0.6015  0.0000  1 Cd 2.66, 2 Br 2.72
Cd  0.8985  0.1015  0.5000  1 Cd 2.66, 2 Br 2.72
Cd  0.1015  0.8985  0.5000  1 Cd 2.66, 2 Br 2.72
Br  0.7602  0.2398  0.0000  2 Cd 2.72
Br  0.2398  0.7602  0.0000  2 Cd 2.72
Br  0.7398  0.7398  0.5000  2 Cd 2.72
Br  0.2602  0.2602  0.5000  2 Cd 2.72

Values from the calculation:
For the total magnetization, the calculation gives 0.000 μB/cell. Its space group is P4_2/mnm, No. 136. The formation energy from raw total energies comes out at -575.4 meV/atom.

Record 4
A plane-wave DFT calculation with GGA-PBE was carried out for crystalline Na2PRu at its relaxed geometry.

Lattice parameters (Å, degrees): 3.6126 3.6126 10.7500 80.33 80.33 90.00
Closest atoms and distances in Å follow each position.
Positions (direct):
Na  0.8750  0.8676  0.7500  4 Na 2.52-2.59
Na  0.6176  0.1250  0.2500  4 Na 2.52-2.59
Na  0.3750  0.3824  0.7500  4 Na 2.52-2.59
Na  0.1324  0.6250  0.2500  4 Na 2.52-2.59
Ru  0.7500  0.2500  0.5000  4 P 2.55
Ru  0.0000  0.0000  0.0000  4 P 2.55
P  0.5000  0.5000  0.0000  4 Ru 2.55
P  0.2500  0.7500  0.5000  4 Ru 2.55

Values from the calculation:
The value obtained for the energy relative to the elements is 0.404 eV/atom. For the total magnetization, the calculation gives 1.560 μB/cell. Its space group is I-42d, No. 122.

Record 5
A plane-wave DFT calculation with GGA-PBE was carried out for crystalline MoP2ICl at its relaxed geometry.

Lattice parameters (Å, degrees): 4.7846 4.7846 4.8585 90.00 90.00 90.00
Closest atoms and distances in Å follow each position.
Positions (direct):
P  0.0000  0.5000  0.0000  2 Mo 2.39
P  0.5000  0.0000  0.0000  2 Mo 2.39
I  0.5000  0.5000  0.5000  4 Cl 3.38, 8 P 3.41
Cl  0.0000  0.0000  0.5000  2 Mo 2.43
Mo  0.0000  0.0000  0.0000  4 P 2.39, 2 Cl 2.43

Values from the calculation:
The energy relative to the lowest polymorph listed for this composition is 0.0 meV per atom. For the total magnetization, the calculation gives 0.000 μB/cell. Its space group is P4/mmm, No. 123. The formation energy from raw total energies comes out at 243.4 meV/atom.

Record 6
A plane-wave DFT calculation with GGA-PBE was carried out for crystalline CsThZnSe4 at its relaxed geometry.

Lattice parameters (Å, degrees): 7.3197 6.0298 10.2537 90.00 105.90 90.00
Closest atoms and distances in Å follow each position.
Positions (direct):
Th  0.2617  0.2500  0.5542  8 Se 2.87-3.22
Th  0.7383  0.7500  0.4458  8 Se 2.87-3.22
Cs  0.7582  0.7500  0.9543  7 Se 3.54-3.91
Cs  0.2418  0.2500  0.0457  7 Se 3.54-3.91
Zn  0.7386  0.2500  0.6692  4 Se 2.39-2.50
Zn  0.2614  0.7500  0.3308  4 Se 2.39-2.50
Se  0.0093  0.5127  0.6931  1 Zn 2.50
Se  0.9907  0.4873  0.3069  1 Zn 2.50
Se  0.5351  0.2500  0.8159  1 Zn 2.39
Se  0.4203  0.7500  0.5762  1 Zn 2.47
Se  0.4649  0.7500  0.1841  1 Zn 2.39
Se  0.5797  0.2500  0.4238  1 Zn 2.47
Se  0.9907  0.0127  0.3069  1 Zn 2.50
Se  0.0093  0.9873  0.6931  1 Zn 2.50

Values from the calculation:
For the total magnetization, the calculation gives 0.000 μB/cell. Its space group is P2_1/m, No. 11. The formation energy from raw total energies comes out at -1238.6 meV/atom.